DFT (PBE) results for a relaxed structure of CsPaAu.

Space-group type: F-43m

a = 5.030 Å, b = 5.030 Å, c = 5.030 Å
α = 60.00°, β = 60.00°, γ = 60.00°
Positions (direct):
Cs 0.000 0.000 0.000
Pa 0.750 0.750 0.750
Au 0.500 0.500 0.500


DFT (PBE) results for a relaxed structure of CsPaAu.

Space-group type: F-43m

a = 5.035 Å, b = 5.035 Å, c = 5.035 Å
α = 60.00°, β = 60.00°, γ = 60.00°
Positions (direct):
Cs 0.000 0.000 0.000
Pa 0.250 0.250 0.250
Au 0.750 0.750 0.750


DFT (PBE) results for a relaxed structure of CsPb5Au3.

Space-group type: P6/mmm

a = 6.015 Å, b = 6.015 Å, c = 8.712 Å
α = 90.00°, β = 90.00°, γ = 120.00°
Positions (direct):
Cs 0.000 0.000 0.000
Pb 0.000 0.000 0.500
Pb 0.333 0.667 0.219
Pb 0.333 0.667 0.781
Pb 0.667 0.333 0.219
Pb 0.667 0.333 0.781
Au 0.000 0.500 0.500
Au 0.500 0.000 0.500
Au 0.500 0.500 0.500


DFT (PBE) results for a relaxed structure of CsPbAu.

Space-group type: F-43m

a = 5.698 Å, b = 5.698 Å, c = 5.698 Å
α = 60.00°, β = 60.00°, γ = 60.00°
Positions (direct):
Cs 0.000 0.000 0.000
Pb 0.250 0.250 0.250
Au 0.750 0.750 0.750


Number 1: volume 30.000 A^3/atom, E -3.57 eV/atom. Number 2: volume 30.093 A^3/atom, E -3.13 eV/atom. Number 3: volume 30.330 A^3/atom, E -3.32 eV/atom. Number 4: volume 43.601 A^3/atom, E -1.95 eV/atom.